Entry 1:
# YSc3Ir

YSc3Ir after structural relaxation (GGA-PBE, the Alexandria database).

The formation energy comes out at 1.321 eV per atom.

The structure belongs to space group Pm-3m (No. 221); the cell edges are 4.8663, 4.8663 and 4.8663 Å and the angles 90.00°, 90.00° and 90.00°. The asymmetric unit holds Y at (0.0000, 0.0000, 0.0000), Sc at (0.0000, 0.0000, 0.5000) and Ir at (0.5000, 0.5000, 0.5000).

=====

Entry 2:
# NdIn3Ag8

NdIn3Ag8 after structural relaxation (GGA-PBE, the Alexandria database).

The formation energy comes out at -0.087 eV per atom.

The structure belongs to space group P3m1 (No. 156); the cell edges are 5.6001, 5.6001 and 9.3152 Å and the angles 90.00°, 90.00° and 120.00°. The asymmetric unit holds Nd at (0.0000, 0.0000, 0.0000), In at (0.0000, 0.0000, 0.3699), In at (0.6667, 0.3333, 0.4990), In at (0.6667, 0.3333, 0.8690), Ag at (0.1641, 0.3282, 0.6803), Ag at (0.3333, 0.6667, 0.4328), Ag at (0.3333, 0.6667, 0.9296) and Ag at (0.5023, 0.0045, 0.1857).

=====

Entry 3:
# YBeCu2

YBeCu2 after structural relaxation (GGA-PBE, the Alexandria database).

The formation energy comes out at 0.034 eV per atom.

The structure belongs to space group P4/mmm (No. 123); the cell edges are 3.0268, 3.0268 and 6.6145 Å and the angles 90.00°, 90.00° and 90.00°. The asymmetric unit holds Y at (0.0000, 0.0000, 0.0000), Be at (0.0000, 0.0000, 0.5000) and Cu at (0.5000, 0.5000, 0.3168).